Record 1
The following is a PBE-GGA calculation of a geometry-optimized Tm4AgPtAu2 structure, from the Alexandria database.

Cell: 4.9892 4.9892 24.5441 Å, 90.00 90.00 120.00°
Space group R-3m (No. 166, hexagonal axes)
Inequivalent atoms, fractional coordinates:
Tm1 0.0000 0.0000 0.1202 x6
Tm2 0.0000 0.0000 0.3708 x6
Ag1 0.0000 0.0000 0.5000 x3
Pt1 0.0000 0.0000 0.0000 x3
Au1 0.0000 0.0000 0.2428 x6

## Properties
crystal system = trigonal
energy of formation from the pure elements = -7.0 eV/f.u.
magnetization = 0.0 μB/f.u.
DOS at the Fermi energy = 4.4 states/eV/f.u.

---

Record 2
The following is a PBE-GGA calculation of a geometry-optimized La5NdAs6 structure, from the Alexandria database.

Cell: 7.551 13.077 7.551 Å, 90.00 109.47 90.00°
Space group C2/m (No. 12)
Inequivalent atoms, fractional coordinates:
La1 0.000 0.000 0.000 x2
La2 0.000 0.167 0.500 x4
La3 0.000 0.333 0.000 x4
Nd1 0.000 0.500 0.500 x2
As1 0.248 0.334 0.749 x8
As2 0.248 0.500 0.251 x4

## Properties
crystal system = monoclinic
energy of formation from the pure elements = -18.8 eV/f.u.
magnetization = 0.0 μB/f.u.
DOS at the Fermi energy = 0.6 states/eV/f.u.